*P*
A plane-wave DFT calculation with GGA-PBE was carried out for a relaxed TlAg2 crystal.

The structure belongs to space group P-62m (No. 189); the cell edges are 7.2139, 7.2139 and 4.6564 Å and the angles 90.00°, 90.00° and 120.00°. The distinct sites, in fractional coordinates, are Tl at (0.0000, 0.0000, 0.0000), Tl at (0.3333, 0.6667, 0.5000), Ag at (0.0000, 0.2331, 0.5000) and Ag at (0.0000, 0.4804, 0.0000).

*Q*
A plane-wave DFT calculation with GGA-PBE was carried out for a relaxed TlAg2 crystal.

The structure belongs to space group P4/mmm (No. 123); the cell edges are 3.9653, 3.9653 and 4.6014 Å and the angles 90.00°, 90.00° and 90.00°. The distinct sites, in fractional coordinates, are Tl at (0.0000, 0.0000, 0.0000) and Ag at (0.0000, 0.5000, 0.5000).

*R*
A plane-wave DFT calculation with GGA-PBE was carried out for a relaxed TlAg2 crystal.

The structure belongs to space group Pa-3 (No. 205); the cell edges are 6.8157, 6.8157 and 6.8157 Å and the angles 90.00°, 90.00° and 90.00°. The distinct sites, in fractional coordinates, are Tl at (0.0000, 0.0000, 0.0000) and Ag at (0.1181, 0.6181, 0.8819).

*S*
A plane-wave DFT calculation with GGA-PBE was carried out for a relaxed TlAg2 crystal.

The structure belongs to space group I4/mcm (No. 140); the cell edges are 5.5543, 5.5543 and 9.1680 Å and the angles 90.00°, 90.00° and 90.00°. The distinct sites, in fractional coordinates, are Tl at (0.0000, 0.0000, 0.2500) and Ag at (0.1805, 0.3195, 0.0000).

Most stable: *S*

*P*
A plane-wave DFT calculation with GGA-PBE was carried out for a relaxed Tl3Ag crystal.

The structure belongs to space group I4/mmm (No. 139); the cell edges are 4.7439, 4.7439 and 9.6585 Å and the angles 90.00°, 90.00° and 90.00°. The distinct sites, in fractional coordinates, are Tl at (0.0000, 0.0000, 0.0000), Tl at (0.0000, 0.5000, 0.2500) and Ag at (0.0000, 0.0000, 0.5000).

*Q*
A plane-wave DFT calculation with GGA-PBE was carried out for a relaxed Tl3Ag crystal.

The structure belongs to space group Pnma (No. 62); the cell edges are 7.7792, 9.1620 and 6.2696 Å and the angles 90.00°, 90.00° and 90.00°. The distinct sites, in fractional coordinates, are Tl at (0.0196, 0.2500, 0.1009), Tl at (0.1881, 0.0499, 0.6400) and Ag at (0.1087, 0.7500, 0.4380).

Most stable: *Q*

*P*
A plane-wave DFT calculation with GGA-PBE was carried out for a relaxed Tl3Ag crystal.

The structure belongs to space group Pm-3n (No. 223); the cell edges are 6.0603, 6.0603 and 6.0603 Å and the angles 90.00°, 90.00° and 90.00°. The distinct sites, in fractional coordinates, are Tl at (0.0000, 0.2500, 0.5000) and Ag at (0.0000, 0.0000, 0.0000).

*Q*
A plane-wave DFT calculation with GGA-PBE was carried out for a relaxed Tl3Ag crystal.

The structure belongs to space group Pmmn (No. 59, origin choice 2); the cell edges are 5.2011, 6.7270 and 6.2668 Å and the angles 90.00°, 90.00° and 90.00°. The distinct sites, in fractional coordinates, are Tl at (0.2500, 0.0000, 0.1633), Tl at (0.2500, 0.2500, 0.6236) and Ag at (0.2500, 0.7500, 0.6934).

Most stable: *Q*

*P*
A plane-wave DFT calculation with GGA-PBE was carried out for a relaxed Tl3Ag crystal.

The structure belongs to space group Pm-3m (No. 221); the cell edges are 4.7786, 4.7786 and 4.7786 Å and the angles 90.00°, 90.00° and 90.00°. The distinct sites, in fractional coordinates, are Tl at (0.0000, 0.0000, 0.5000) and Ag at (0.5000, 0.5000, 0.5000).

*Q*
A plane-wave DFT calculation with GGA-PBE was carried out for a relaxed Tl3Ag crystal.

The structure belongs to space group R-3m (No. 166, hexagonal axes); the cell edges are 3.5847, 3.5847 and 29.8750 Å and the angles 90.00°, 90.00° and 120.00°. The distinct sites, in fractional coordinates, are Tl at (0.0000, 0.0000, 0.0000), Tl at (0.0000, 0.0000, 0.2409) and Ag at (0.0000, 0.0000, 0.5000).

*R*
A plane-wave DFT calculation with GGA-PBE was carried out for a relaxed Tl3Ag crystal.

The structure belongs to space group Fm-3m (No. 225); the cell edges are 7.6037, 7.6037 and 7.6037 Å and the angles 90.00°, 90.00° and 90.00°. The distinct sites, in fractional coordinates, are Tl at (0.0000, 0.0000, 0.0000), Tl at (0.2500, 0.2500, 0.2500) and Ag at (0.0000, 0.0000, 0.5000).

*S*
A plane-wave DFT calculation with GGA-PBE was carried out for a relaxed Tl3Ag crystal.

The structure belongs to space group Imm2 (No. 44); the cell edges are 3.4306, 10.8851 and 5.9006 Å and the angles 90.00°, 90.00° and 90.00°. The distinct sites, in fractional coordinates, are Tl at (0.0000, 0.0000, 0.0000), Tl at (0.0000, 0.2189, 0.5923) and Ag at (0.0000, 0.5000, 0.9405).

Most stable: *S*

*P*
A plane-wave DFT calculation with GGA-PBE was carried out for a relaxed Tl3Ag crystal.

The structure belongs to space group P2/m (No. 10); the cell edges are 3.5349, 4.9258 and 6.4548 Å and the angles 90.00°, 102.45° and 90.00°. The distinct sites, in fractional coordinates, are Tl at (0.0000, 0.0000, 0.0000), Tl at (0.3857, 0.5000, 0.7324) and Ag at (0.0000, 0.0000, 0.5000).

*Q*
A plane-wave DFT calculation with GGA-PBE was carried out for a relaxed Tl3Ag crystal.

The structure belongs to space group P4/mmm (No. 123); the cell edges are 5.3653, 5.3653 and 3.8247 Å and the angles 90.00°, 90.00° and 90.00°. The distinct sites, in fractional coordinates, are Tl at (0.0000, 0.0000, 0.0000), Tl at (0.0000, 0.5000, 0.5000) and Ag at (0.5000, 0.5000, 0.0000).

Most stable: *P*

*P*
A plane-wave DFT calculation with GGA-PBE was carried out for a relaxed Tl3Ag crystal.

The structure belongs to space group Cmmm (No. 65); the cell edges are 4.6466, 5.0388 and 9.3185 Å and the angles 90.00°, 90.00° and 90.00°. The distinct sites, in fractional coordinates, are Tl at (0.0000, 0.0000, 0.0000), Tl at (0.0000, 0.5000, 0.2853) and Ag at (0.0000, 0.0000, 0.5000).

*Q*
A plane-wave DFT calculation with GGA-PBE was carried out for a relaxed Tl3Ag crystal.

The structure belongs to space group P-6m2 (No. 187); the cell edges are 3.4852, 3.4852 and 10.3770 Å and the angles 90.00°, 90.00° and 120.00°. The distinct sites, in fractional coordinates, are Tl at (0.0000, 0.0000, 0.0000), Tl at (0.6667, 0.3333, 0.2760) and Ag at (0.0000, 0.0000, 0.5000).

Most stable: *P*

*P*
A plane-wave DFT calculation with GGA-PBE was carried out for a relaxed Tl2Ag3 crystal.

The structure belongs to space group R-3m (No. 166, hexagonal axes); the cell edges are 3.4556, 3.4556 and 33.4483 Å and the angles 90.00°, 90.00° and 120.00°. The distinct sites, in fractional coordinates, are Tl at (0.0000, 0.0000, 0.0980), Ag at (0.0000, 0.0000, 0.3035) and Ag at (0.0000, 0.0000, 0.5000).

*Q*
A plane-wave DFT calculation with GGA-PBE was carried out for a relaxed Tl2Ag3 crystal.

The structure belongs to space group Fdd2 (No. 43); the cell edges are 10.5429, 25.6495 and 3.3656 Å and the angles 90.00°, 90.00° and 90.00°. The distinct sites, in fractional coordinates, are Tl at (0.0024, 0.3074, 0.0000), Ag at (0.0000, 0.0000, 0.4911) and Ag at (0.0032, 0.4064, 0.4937).

Most stable: *Q*

*P*
A plane-wave DFT calculation with GGA-PBE was carried out for a relaxed TlAg5 crystal.

The structure belongs to space group F-43m (No. 216); the cell edges are 7.9183, 7.9183 and 7.9183 Å and the angles 90.00°, 90.00° and 90.00°. The distinct sites, in fractional coordinates, are Tl at (0.0000, 0.0000, 0.0000), Ag at (0.1246, 0.1246, 0.3754) and Ag at (0.2500, 0.2500, 0.7500).

*Q*
A plane-wave DFT calculation with GGA-PBE was carried out for a relaxed TlAg5 crystal.

The structure belongs to space group P6/mmm (No. 191); the cell edges are 5.6142, 5.6142 and 4.7543 Å and the angles 90.00°, 90.00° and 120.00°. The distinct sites, in fractional coordinates, are Tl at (0.0000, 0.0000, 0.0000), Ag at (0.0000, 0.5000, 0.5000) and Ag at (0.3333, 0.6667, 0.0000).

Most stable: *Q*

*P*
A plane-wave DFT calculation with GGA-PBE was carried out for a relaxed Tl6Ag crystal.

The structure belongs to space group P-31m (No. 162); the cell edges are 8.6903, 8.6903 and 3.4512 Å and the angles 90.00°, 90.00° and 120.00°. The distinct sites, in fractional coordinates, are Tl at (0.0000, 0.3366, 0.2637) and Ag at (0.0000, 0.0000, 0.0000).

*Q*
A plane-wave DFT calculation with GGA-PBE was carried out for a relaxed Tl6Ag crystal.

The structure belongs to space group Im-3m (No. 229); the cell edges are 8.5538, 8.5538 and 8.5538 Å and the angles 90.00°, 90.00° and 90.00°. The distinct sites, in fractional coordinates, are Tl at (0.0000, 0.2500, 0.5000) and Ag at (0.0000, 0.0000, 0.0000).

Most stable: *P*

*P*
A plane-wave DFT calculation with GGA-PBE was carried out for a relaxed Tm2Tl2Ag crystal.

The structure belongs to space group Ibam (No. 72); the cell edges are 6.3792, 13.2177 and 6.2280 Å and the angles 90.00°, 90.00° and 90.00°. The distinct sites, in fractional coordinates, are Tm at (0.1963, 0.1708, 0.0000), Tl at (0.1576, 0.4054, 0.0000) and Ag at (0.0000, 0.0000, 0.2500).

*Q*
A plane-wave DFT calculation with GGA-PBE was carried out for a relaxed Tm2Tl2Ag crystal.

The structure belongs to space group Cmmm (No. 65); the cell edges are 3.6091, 20.4611 and 3.5739 Å and the angles 90.00°, 90.00° and 90.00°. The distinct sites, in fractional coordinates, are Tm at (0.0000, 0.0876, 0.0000), Tl at (0.0000, 0.3126, 0.5000) and Ag at (0.0000, 0.5000, 0.5000).

Most stable: *Q*

*P*
A plane-wave DFT calculation with GGA-PBE was carried out for a relaxed Tm2TlAg crystal.

The structure belongs to space group R-3m (No. 166, hexagonal axes); the cell edges are 3.7406, 3.7406 and 26.7111 Å and the angles 90.00°, 90.00° and 120.00°. The distinct sites, in fractional coordinates, are Tm at (0.0000, 0.0000, 0.2439), Tl at (0.0000, 0.0000, 0.0000) and Ag at (0.0000, 0.0000, 0.5000).

*Q*
A plane-wave DFT calculation with GGA-PBE was carried out for a relaxed Tm2TlAg crystal.

The structure belongs to space group Fm-3m (No. 225); the cell edges are 7.3459, 7.3459 and 7.3459 Å and the angles 90.00°, 90.00° and 90.00°. The distinct sites, in fractional coordinates, are Tm at (0.2500, 0.2500, 0.2500), Tl at (0.0000, 0.0000, 0.0000) and Ag at (0.0000, 0.0000, 0.5000).

Most stable: *Q*